Entry 1:
Tb4NdDy15 after structural relaxation, computed with PBE.

Summary:
Energy of formation: 0.0178 eV/atom
Spin magnetization: 0.00 μB per cell
Symmetry: P4/mmm

Cell: 5.024 5.024 25.109 Å, 90.00 90.00 90.00°
Positions (direct):
Tb 0.000 0.000 0.600
Tb 0.000 0.000 0.400
Tb 0.000 0.000 0.799
Tb 0.000 0.000 0.201
Dy 0.000 0.500 0.301
Dy 0.500 0.500 0.600
Dy 0.500 0.000 0.101
Dy 0.500 0.500 0.000
Dy 0.500 0.500 0.201
Dy 0.000 0.500 0.101
Dy 0.500 0.000 0.699
Dy 0.000 0.500 0.500
Dy 0.000 0.500 0.899
Dy 0.500 0.500 0.400
Dy 0.000 0.500 0.699
Dy 0.500 0.000 0.301
Dy 0.500 0.000 0.500
Dy 0.500 0.000 0.899
Dy 0.500 0.500 0.799
Nd 0.000 0.000 0.000


Entry 2:
Tb6NdDy3 after structural relaxation, computed with PBE.

Summary:
Energy relative to the lowest polymorph listed for this composition: 120 meV/atom
Energy of formation: 0.2692 eV/atom
Spin magnetization: 0.00 μB per cell
Symmetry: R3

Cell: 9.844 9.844 6.899 Å, 44.48 44.48 60.00°
Positions (direct):
Tb 0.231 0.901 0.298
Tb 0.901 0.570 0.298
Tb 0.401 0.729 0.798
Tb 0.729 0.071 0.798
Tb 0.071 0.401 0.798
Tb 0.570 0.231 0.298
Dy 0.646 0.646 0.062
Dy 0.152 0.152 0.545
Dy 0.399 0.399 0.802
Nd 0.900 0.900 0.301


Entry 3:
Tb7NdDy12 after structural relaxation, computed with PBE.

Summary:
Energy relative to the lowest polymorph listed for this composition: 393 meV/atom
Energy of formation: 0.6877 eV/atom
Spin magnetization: 0.00 μB per cell
Symmetry: Im-3m

Cell: 9.751 9.751 9.751 Å, 109.47 109.47 109.47°
Positions (direct):
Dy 0.253 0.746 0.000
Dy 0.746 0.493 0.747
Dy 0.254 0.000 0.747
Dy 0.493 0.747 0.746
Dy 0.000 0.253 0.746
Dy 0.253 0.254 0.507
Dy 0.747 0.254 0.000
Dy 0.000 0.747 0.254
Dy 0.254 0.507 0.253
Dy 0.507 0.253 0.254
Dy 0.747 0.746 0.493
Dy 0.746 0.000 0.253
Tb 0.500 0.000 0.000
Tb 0.500 0.500 0.000
Tb 0.500 0.500 0.500
Tb 0.500 0.000 0.500
Tb 0.000 0.000 0.500
Tb 0.000 0.500 0.000
Tb 0.000 0.500 0.500
Nd 0.000 0.000 0.000


Entry 4:
Tb3Nd4Dy2 after structural relaxation, computed with PBE.

Summary:
Energy relative to the lowest polymorph listed for this composition: 0 meV/atom
Energy of formation: 0.0530 eV/atom
Spin magnetization: 0.00 μB per cell
Symmetry: C2/c

Cell: 7.094 12.143 12.143 Å, 48.01 54.27 54.27°
Positions (direct):
Nd 0.026 0.822 0.152
Nd 0.843 0.176 0.481
Nd 0.474 0.848 0.178
Nd 0.157 0.824 0.519
Nd 0.343 0.481 0.176
Nd 0.657 0.519 0.824
Nd 0.526 0.152 0.822
Nd 0.974 0.178 0.848
Tb 0.908 0.171 0.171
Tb 0.250 0.500 0.500
Tb 0.092 0.829 0.829
Tb 0.408 0.171 0.171
Tb 0.750 0.500 0.500
Tb 0.592 0.829 0.829
Dy 0.322 0.156 0.521
Dy 0.822 0.521 0.156
Dy 0.678 0.844 0.479
Dy 0.178 0.479 0.844


Entry 5:
Tb3Nd7Dy2 after structural relaxation, computed with PBE.

Summary:
Energy relative to the lowest polymorph listed for this composition: 0 meV/atom
Energy of formation: 0.2561 eV/atom
Spin magnetization: 0.00 μB per cell
Symmetry: Cmmm

Cell: 4.712 5.535 16.456 Å, 99.68 90.00 90.00°
Positions (direct):
Nd 0.000 0.264 0.529
Nd 0.500 0.080 0.159
Nd 0.000 0.736 0.471
Nd 0.000 0.417 0.834
Nd 0.000 0.000 0.000
Nd 0.000 0.583 0.166
Nd 0.500 0.920 0.841
Dy 0.000 0.840 0.681
Dy 0.000 0.160 0.319
Tb 0.500 0.342 0.684
Tb 0.500 0.658 0.316
Tb 0.500 0.500 0.000


Entry 6:
Tb4Nd6Dy after structural relaxation, computed with PBE.

Summary:
Energy relative to the lowest polymorph listed for this composition: 0 meV/atom
Energy of formation: 0.2850 eV/atom
Spin magnetization: 0.00 μB per cell
Symmetry: I-42m

Cell: 9.950 9.950 9.950 Å, 56.02 141.21 141.21°
Positions (direct):
Nd 0.000 0.456 0.814
Nd 0.000 0.814 0.456
Nd 0.500 0.500 0.000
Nd 0.642 0.186 0.186
Nd 0.500 0.000 0.500
Nd 0.358 0.544 0.544
Dy 0.000 0.000 0.000
Tb 0.000 0.639 0.011
Tb 0.628 0.989 0.989
Tb 0.000 0.011 0.639
Tb 0.372 0.361 0.361